DFT (PBE-GGA) results for an optimized crystal structure of MgRh2Cl.

**E above lowest polymorph**: 310 meV per atom
**Total magnetization**: 1.13 μB/f.u.
**Electronic total energy**: -4.4485 eV per atom

Cell lengths 3.687, 3.687, 10.555 Å; angles 79.94, 79.94, 90.00 degrees
Element x y z (fractional)
Mg 0.500 0.500 0.000
Mg 0.250 0.750 0.500
Rh 0.610 0.125 0.250
Rh 0.140 0.625 0.250
Rh 0.375 0.390 0.750
Rh 0.875 0.860 0.750
Cl 0.000 0.000 0.000
Cl 0.750 0.250 0.500



DFT (PBE-GGA) results for an optimized crystal structure of MgRh2Cl.

**E above lowest polymorph**: 362 meV per atom
**Total magnetization**: 1.41 μB/f.u.
**Electronic total energy**: -4.3962 eV per atom

Cell lengths 5.956, 5.956, 5.956 Å; angles 144.62, 144.62, 50.90 degrees
Element x y z (fractional)
Cl 0.250 0.750 0.500
Mg 0.750 0.250 0.500
Rh 0.000 0.000 0.000
Rh 0.500 0.500 0.000



DFT (PBE-GGA) results for an optimized crystal structure of MgRh2Cl.

**E above lowest polymorph**: 0 meV per atom
**Total magnetization**: 1.62 μB/f.u.
**Electronic total energy**: -4.7583 eV per atom

Cell lengths 2.998, 3.009, 7.507 Å; angles 78.41, 90.00, 90.00 degrees
Element x y z (fractional)
Cl 0.000 0.300 0.524
Mg 0.500 0.685 0.756
Rh 0.000 0.061 0.001
Rh 0.500 0.453 0.218



DFT (PBE-GGA) results for an optimized crystal structure of MgRh2Cl.

**E above lowest polymorph**: 553 meV per atom
**Total magnetization**: 1.52 μB/f.u.
**Electronic total energy**: -4.2049 eV per atom

Cell lengths 4.466, 4.466, 4.466 Å; angles 60.00, 60.00, 60.00 degrees
Element x y z (fractional)
Mg 0.000 0.000 0.000
Rh 0.250 0.250 0.250
Rh 0.750 0.750 0.750
Cl 0.500 0.500 0.500



DFT (PBE-GGA) results for an optimized crystal structure of MgRh2Cl.

**E above lowest polymorph**: 271 meV per atom
**Total magnetization**: 0.00 μB/f.u.
**Electronic total energy**: -4.4878 eV per atom

Cell lengths 8.396, 8.396, 8.396 Å; angles 20.30, 20.30, 20.30 degrees
Element x y z (fractional)
Cl 0.250 0.250 0.250
Mg 0.750 0.750 0.750
Rh 0.996 0.996 0.996
Rh 0.504 0.504 0.504



DFT (PBE-GGA) results for an optimized crystal structure of MgRhS2Cl.

**E above lowest polymorph**: 0 meV per atom
**Total magnetization**: 0.00 μB/f.u.
**Electronic total energy**: -3.9454 eV per atom

Cell lengths 4.691, 4.691, 4.737 Å; angles 90.00, 90.00, 90.00 degrees
Element x y z (fractional)
S 0.000 0.500 0.000
S 0.500 0.000 0.000
Rh 0.000 0.000 0.000
Mg 0.500 0.500 0.500
Cl 0.000 0.000 0.500



DFT (PBE-GGA) results for an optimized crystal structure of MgSn2RhCl.

**Total magnetization**: 0.00 μB/f.u.
**Electronic total energy**: -3.1989 eV per atom

Cell lengths 5.495, 4.571, 5.495 Å; angles 90.00, 90.00, 90.00 degrees
Element x y z (fractional)
Mg 0.000 0.000 0.000
Rh 0.000 0.500 0.000
Sn 0.000 0.000 0.500
Sn 0.500 0.000 0.000
Cl 0.500 0.500 0.500



DFT (PBE-GGA) results for an optimized crystal structure of MgRuCl2.

**E above lowest polymorph**: 436 meV per atom
**Total magnetization**: 0.00 μB/f.u.
**Electronic total energy**: -3.6675 eV per atom

Cell lengths 8.547, 8.547, 8.547 Å; angles 24.00, 24.00, 24.00 degrees
Element x y z (fractional)
Ru 0.500 0.500 0.500
Mg 0.000 0.000 0.000
Cl 0.885 0.885 0.885
Cl 0.115 0.115 0.115



DFT (PBE-GGA) results for an optimized crystal structure of MgRuCl2.

**E above lowest polymorph**: 458 meV per atom
**Total magnetization**: 2.73 μB/f.u.
**Electronic total energy**: -3.6460 eV per atom

Cell lengths 3.040, 3.040, 10.694 Å; angles 90.00, 90.00, 90.00 degrees
Element x y z (fractional)
Cl 0.000 0.000 0.108
Cl 0.000 0.000 0.392
Mg 0.500 0.500 0.250
Ru 0.500 0.500 0.750



DFT (PBE-GGA) results for an optimized crystal structure of MgRuCl2.

**E above lowest polymorph**: 857 meV per atom
**Total magnetization**: 2.16 μB/f.u.
**Electronic total energy**: -3.2470 eV per atom

Cell lengths 4.784, 4.784, 4.784 Å; angles 60.00, 60.00, 60.00 degrees
Element x y z (fractional)
Cl 0.000 0.000 0.000
Cl 0.250 0.250 0.250
Mg 0.500 0.500 0.500
Ru 0.750 0.750 0.750



DFT (PBE-GGA) results for an optimized crystal structure of MgRu2Cl.

**E above lowest polymorph**: 469 meV per atom
**Total magnetization**: 0.00 μB/f.u.
**Electronic total energy**: -5.1218 eV per atom

Cell lengths 4.959, 3.048, 4.363 Å; angles 91.12, 90.00, 90.00 degrees
Element x y z (fractional)
Cl 0.500 0.250 0.250
Mg 0.500 0.750 0.750
Ru 0.000 0.072 0.992
Ru 0.000 0.428 0.508



DFT (PBE-GGA) results for an optimized crystal structure of MgRu2Cl.

**E above lowest polymorph**: 744 meV per atom
**Total magnetization**: 0.00 μB/f.u.
**Electronic total energy**: -4.8474 eV per atom

Cell lengths 5.250, 5.250, 2.873 Å; angles 90.00, 90.00, 123.83 degrees
Element x y z (fractional)
Cl 0.500 0.000 0.500
Mg 0.000 0.500 0.500
Ru 0.000 0.000 0.000
Ru 0.500 0.500 0.000